# KV2CoP, relaxed, DFT GGA-PBE
# **N(E_F)**: 12.12 states/eV per cell
# **Calculated formation energy**: 3.841 eV per formula unit
data_KV2CoP
_chemical_formula_sum 'K1 V2 Co1 P1'
_cell_length_a 4.556
_cell_length_b 4.556
_cell_length_c 4.326
_cell_angle_alpha 90.00
_cell_angle_beta 90.00
_cell_angle_gamma 90.00
_space_group_name_H-M_alt 'P 4/m m m'
_space_group_IT_number 123
_space_group_name_Hall '-P 4 2'
loop_
_atom_site_label
_atom_site_fract_x
_atom_site_fract_y
_atom_site_fract_z
K1 0.000 0.000 0.000
V1 0.000 0.500 0.500
Co1 0.500 0.500 0.000
P1 0.500 0.500 0.500